K2Na PBE optimized geometry; uncorrected energy = -1.140 eV/atom; D(E_F) = 0.69 states/eV/atom; SG = No. 12; E above lowest polymorph = 18 meV per atom
1.0
6.707 0.041 -1.029
3.035 5.981 -1.029
1.539 0.951 8.538
K Na
4 2
direct
0.669 0.668 0.093
0.331 0.332 0.907
0.332 0.331 0.407
0.668 0.669 0.593
0.000 0.000 0.250
0.000 0.000 0.750